(1)
{"formula": "BaOs2F", "functional": "PBE-GGA", "state": "optimized geometry", "e_above_lowest_polymorph_ev_per_atom": 0.000, "formation_energy_uncorrected_ev_per_atom": -0.47, "density_g_cm3": 10.3, "m_tot_mub_per_atom": 0.000, "lattice_angstrom": [[-1.796, 1.796, 13.369], [1.796, -1.796, 13.369], [1.796, 1.796, -13.369]], "species": ["Ba", "Ba", "Os", "Os", "Os", "Os", "F", "F"], "frac_coords": [[0.000, 0.000, 0.000], [0.750, 0.250, 0.500], [0.146, 0.625, 0.021], [0.375, 0.396, 0.521], [0.604, 0.125, 0.979], [0.875, 0.854, 0.479], [0.250, 0.750, 0.500], [0.500, 0.500, 0.000]]}

***

(2)
{"formula": "BaOs2F2", "functional": "PBE-GGA", "state": "optimized geometry", "e_above_lowest_polymorph_ev_per_atom": 0.000, "formation_energy_uncorrected_ev_per_atom": -0.06, "density_g_cm3": 9.0, "m_tot_mub_per_atom": 0.377, "lattice_angstrom": [[-2.222, 2.222, 5.170], [2.222, -2.222, 5.170], [2.222, 2.222, -5.170]], "species": ["Ba", "Os", "Os", "F", "F"], "frac_coords": [[0.000, 0.000, 0.000], [0.396, 0.396, 0.000], [0.604, 0.604, 0.000], [0.250, 0.750, 0.500], [0.750, 0.250, 0.500]]}

***

(3)
{"formula": "BaOs2F", "functional": "PBE-GGA", "state": "optimized geometry", "e_above_lowest_polymorph_ev_per_atom": 2.223, "formation_energy_uncorrected_ev_per_atom": 1.75, "density_g_cm3": 11.4, "m_tot_mub_per_atom": 0.942, "lattice_angstrom": [[0.000, 3.394, 3.394], [3.394, 0.000, 3.394], [3.394, 3.394, 0.000]], "species": ["Ba", "Os", "Os", "F"], "frac_coords": [[0.000, 0.000, 0.000], [0.250, 0.250, 0.250], [0.750, 0.750, 0.750], [0.500, 0.500, 0.500]]}

***

(4)
{"formula": "BaOs2F2", "functional": "PBE-GGA", "state": "optimized geometry", "e_above_lowest_polymorph_ev_per_atom": 0.060, "formation_energy_uncorrected_ev_per_atom": 0.00, "density_g_cm3": 9.6, "m_tot_mub_per_atom": 0.000, "lattice_angstrom": [[8.044, 0.000, 0.000], [0.000, 8.044, 0.000], [0.000, 0.000, 2.980]], "species": ["Ba", "Ba", "Os", "Os", "Os", "Os", "F", "F", "F", "F"], "frac_coords": [[0.000, 0.000, 0.000], [0.500, 0.500, 0.000], [0.096, 0.404, 0.000], [0.404, 0.904, 0.000], [0.596, 0.096, 0.000], [0.904, 0.596, 0.000], [0.246, 0.746, 0.500], [0.254, 0.246, 0.500], [0.746, 0.754, 0.500], [0.754, 0.254, 0.500]]}

***

(5)
{"formula": "RbBaOs2F", "functional": "PBE-GGA", "state": "optimized geometry", "formation_energy_uncorrected_ev_per_atom": 1.11, "density_g_cm3": 9.1, "m_tot_mub_per_atom": 0.442, "lattice_angstrom": [[4.646, 0.000, 0.000], [0.000, 4.646, 0.000], [0.000, 0.000, 5.288]], "species": ["Rb", "Ba", "Os", "Os", "F"], "frac_coords": [[0.000, 0.000, 0.000], [0.500, 0.500, 0.000], [0.000, 0.500, 0.500], [0.500, 0.000, 0.500], [0.500, 0.500, 0.500]]}

***

(6)
{"formula": "Rb2BaOsF6", "functional": "PBE-GGA", "state": "optimized geometry", "formation_energy_uncorrected_ev_per_atom": -2.30, "density_g_cm3": 5.0, "m_tot_mub_per_atom": 0.000, "lattice_angstrom": [[0.000, 4.663, 4.663], [4.663, 0.000, 4.663], [4.663, 4.663, 0.000]], "species": ["Rb", "Rb", "Ba", "Os", "F", "F", "F", "F", "F", "F"], "frac_coords": [[0.250, 0.250, 0.250], [0.750, 0.750, 0.750], [0.000, 0.000, 0.000], [0.500, 0.500, 0.500], [0.271, 0.271, 0.729], [0.271, 0.729, 0.271], [0.271, 0.729, 0.729], [0.729, 0.271, 0.271], [0.729, 0.271, 0.729], [0.729, 0.729, 0.271]]}

***

(7)
{"formula": "Ba12P3F5", "functional": "PBE-GGA", "state": "optimized geometry", "formation_energy_uncorrected_ev_per_atom": -1.63, "density_g_cm3": 4.4, "m_tot_mub_per_atom": 0.335, "lattice_angstrom": [[-8.845, 8.845, 8.845], [8.845, -8.845, 8.845], [8.845, 8.845, -8.845]], "species": ["Ba", "Ba", "Ba", "Ba", "Ba", "Ba", "Ba", "Ba", "Ba", "Ba", "Ba", "Ba", "Ba", "Ba", "Ba", "Ba", "Ba", "Ba", "Ba", "Ba", "Ba", "Ba", "Ba", "Ba", "Ba", "Ba", "Ba", "Ba", "Ba", "Ba", "Ba", "Ba", "Ba", "Ba", "Ba", "Ba", "Ba", "Ba", "Ba", "Ba", "Ba", "Ba", "Ba", "Ba", "Ba", "Ba", "Ba", "Ba", "P", "P", "P", "P", "P", "P", "P", "P", "P", "P", "P", "P", "F", "F", "F", "F", "F", "F", "F", "F", "F", "F", "F", "F", "F", "F", "F", "F", "F", "F", "F", "F"], "frac_coords": [[0.033, 0.218, 0.125], [0.033, 0.315, 0.907], [0.092, 0.718, 0.685], [0.092, 0.875, 0.407], [0.093, 0.625, 0.408], [0.093, 0.967, 0.685], [0.125, 0.033, 0.218], [0.125, 0.593, 0.908], [0.185, 0.218, 0.592], [0.185, 0.467, 0.593], [0.218, 0.125, 0.033], [0.218, 0.592, 0.185], [0.282, 0.315, 0.908], [0.282, 0.467, 0.375], [0.315, 0.907, 0.033], [0.315, 0.908, 0.282], [0.375, 0.282, 0.467], [0.375, 0.592, 0.907], [0.407, 0.092, 0.875], [0.407, 0.815, 0.533], [0.408, 0.093, 0.625], [0.408, 0.815, 0.782], [0.467, 0.375, 0.282], [0.467, 0.593, 0.185], [0.533, 0.407, 0.815], [0.533, 0.625, 0.718], [0.592, 0.185, 0.218], [0.592, 0.907, 0.375], [0.593, 0.185, 0.467], [0.593, 0.908, 0.125], [0.625, 0.408, 0.093], [0.625, 0.718, 0.533], [0.685, 0.092, 0.718], [0.685, 0.093, 0.967], [0.718, 0.533, 0.625], [0.718, 0.685, 0.092], [0.782, 0.408, 0.815], [0.782, 0.875, 0.967], [0.815, 0.533, 0.407], [0.815, 0.782, 0.408], [0.875, 0.407, 0.092], [0.875, 0.967, 0.782], [0.907, 0.033, 0.315], [0.907, 0.375, 0.592], [0.908, 0.125, 0.593], [0.908, 0.282, 0.315], [0.967, 0.685, 0.093], [0.967, 0.782, 0.875], [0.125, 0.250, 0.375], [0.125, 0.375, 0.750], [0.250, 0.375, 0.125], [0.250, 0.875, 0.625], [0.375, 0.125, 0.250], [0.375, 0.750, 0.125], [0.625, 0.250, 0.875], [0.625, 0.875, 0.750], [0.750, 0.125, 0.375], [0.750, 0.625, 0.875], [0.875, 0.625, 0.250], [0.875, 0.750, 0.625], [0.000, 0.000, 0.000], [0.000, 0.000, 0.500], [0.000, 0.500, 0.000], [0.000, 0.500, 0.500], [0.125, 0.750, 0.875], [0.125, 0.875, 0.250], [0.250, 0.125, 0.875], [0.250, 0.625, 0.375], [0.375, 0.250, 0.625], [0.375, 0.625, 0.750], [0.500, 0.000, 0.000], [0.500, 0.000, 0.500], [0.500, 0.500, 0.000], [0.500, 0.500, 0.500], [0.625, 0.375, 0.250], [0.625, 0.750, 0.375], [0.750, 0.375, 0.625], [0.750, 0.875, 0.125], [0.875, 0.125, 0.750], [0.875, 0.250, 0.125]]}

***

(8)
{"formula": "Ba2PF", "functional": "PBE-GGA", "state": "optimized geometry", "e_above_lowest_polymorph_ev_per_atom": 0.132, "formation_energy_uncorrected_ev_per_atom": -1.87, "density_g_cm3": 3.7, "m_tot_mub_per_atom": 0.000, "lattice_angstrom": [[-3.175, 3.175, 7.211], [3.175, -3.175, 7.211], [3.175, 3.175, -7.211]], "species": ["Ba", "Ba", "Ba", "Ba", "P", "P", "F", "F"], "frac_coords": [[0.087, 0.625, 0.962], [0.375, 0.337, 0.462], [0.663, 0.125, 0.038], [0.875, 0.913, 0.538], [0.250, 0.750, 0.500], [0.500, 0.500, 0.000], [0.000, 0.000, 0.000], [0.750, 0.250, 0.500]]}

***

(9)
{"formula": "BaP2F", "functional": "PBE-GGA", "state": "optimized geometry", "e_above_lowest_polymorph_ev_per_atom": 1.428, "formation_energy_uncorrected_ev_per_atom": -0.03, "density_g_cm3": 4.0, "m_tot_mub_per_atom": 0.000, "lattice_angstrom": [[0.000, 3.573, 3.573], [3.573, 0.000, 3.573], [3.573, 3.573, 0.000]], "species": ["Ba", "P", "P", "F"], "frac_coords": [[0.000, 0.000, 0.000], [0.250, 0.250, 0.250], [0.750, 0.750, 0.750], [0.500, 0.500, 0.500]]}

***

(10)
{"formula": "Ba4P2F", "functional": "PBE-GGA", "state": "optimized geometry", "formation_energy_uncorrected_ev_per_atom": -1.38, "density_g_cm3": 4.5, "m_tot_mub_per_atom": 0.000, "lattice_angstrom": [[-2.597, 2.597, 8.549], [2.597, -2.597, 8.549], [2.597, 2.597, -8.549]], "species": ["Ba", "Ba", "Ba", "Ba", "P", "P", "F"], "frac_coords": [[0.000, 0.500, 0.500], [0.190, 0.190, 0.000], [0.500, 0.000, 0.500], [0.810, 0.810, 0.000], [0.371, 0.371, 0.000], [0.629, 0.629, 0.000], [0.000, 0.000, 0.000]]}